(1)
DFT (GGA-PBEsol) results for a geometry-optimized ZrMoSCl2 structure.

a b c (Å): 4.671 4.671 4.623
angles (deg): 90.00 90.00 90.00
Space group P4/mmm (No. 123)
Inequivalent atoms, fractional coordinates:
Zr (0.000, 0.000, 0.000) x1
Mo (0.500, 0.500, 0.500) x1
S (0.500, 0.500, 0.000) x1
Cl (0.000, 0.500, 0.500) x2

Computed properties:
- VASP energy: -5.712 eV per atom
- D(E_F): 7.06 states/eV/f.u.
- Raw formation energy: 0.140 eV per atom

---

(2)
DFT (GGA-PBEsol) results for a geometry-optimized TlZn2Br structure.

a b c (Å): 3.482 5.564 9.334
angles (deg): 90.00 90.00 90.00
Space group Imm2 (No. 44)
Inequivalent atoms, fractional coordinates:
Tl (0.000, 0.000, 0.000) x2
Zn (0.000, 0.000, 0.464) x2
Zn (0.000, 0.500, 0.763) x2
Br (0.000, 0.500, 0.187) x2

Computed properties:
- Energy above the lowest structure with this stoichiometry: 0.000 eV/atom
- VASP energy: -1.886 eV per atom
- D(E_F): 1.87 states/eV/f.u.
- Raw formation energy: 0.030 eV per atom

---

(3)
DFT (GGA-PBEsol) results for a geometry-optimized LiYGa4 structure.

a b c (Å): 4.2844 4.2844 6.7674
angles (deg): 90.00 90.00 120.00
Space group P-6m2 (No. 187)
Inequivalent atoms, fractional coordinates:
Li (0.0000, 0.0000, 0.0000) x1
Y (0.0000, 0.0000, 0.5000) x1
Ga (0.3333, 0.6667, 0.2744) x2
Ga (0.6667, 0.3333, 0.1923) x2

Computed properties:
- ΔH_f (0 K): -0.550 eV/atom
- VASP energy: -4.241 eV per atom
- D(E_F): 0.44 states/eV/f.u.

---

(4)
DFT (GGA-PBEsol) results for a geometry-optimized Ir3Ru structure.

a b c (Å): 4.346 5.434 4.703
angles (deg): 90.00 90.00 90.00
Space group Pmmn (No. 59, origin choice 2)
Inequivalent atoms, fractional coordinates:
Ir (0.250, 0.001, 0.166) x4
Ir (0.250, 0.750, 0.664) x2
Ru (0.250, 0.250, 0.667) x2

Computed properties:
- ΔH_f (0 K): 0.000 eV/atom
- VASP energy: -9.911 eV per atom
- D(E_F): 4.15 states/eV/f.u.

---

(5)
DFT (GGA-PBEsol) results for a geometry-optimized AlMoIr2Br structure.

a b c (Å): 4.551 4.551 4.521
angles (deg): 90.00 90.00 90.00
Space group P4/mmm (No. 123)
Inequivalent atoms, fractional coordinates:
Al (0.000, 0.000, 0.000) x1
Mo (0.500, 0.500, 0.000) x1
Ir (0.000, 0.500, 0.500) x2
Br (0.500, 0.500, 0.500) x1

Computed properties:
- VASP energy: -5.819 eV per atom
- D(E_F): 5.42 states/eV/f.u.
- Raw formation energy: 1.656 eV per atom

---

(6)
DFT (GGA-PBEsol) results for a geometry-optimized CaSi2Tc structure.

a b c (Å): 6.282 6.282 6.282
angles (deg): 90.00 90.00 90.00
Space group Fm-3m (No. 225)
Inequivalent atoms, fractional coordinates:
Ca (0.000, 0.000, 0.000) x4
Si (0.250, 0.250, 0.250) x8
Tc (0.000, 0.000, 0.500) x4

Computed properties:
- Energy above the lowest structure with this stoichiometry: 0.000 eV/atom
- VASP energy: -6.305 eV per atom
- D(E_F): 2.39 states/eV/f.u.
- Raw formation energy: -0.082 eV per atom

---

(7)
DFT (GGA-PBEsol) results for a geometry-optimized CaSiN2F structure.

a b c (Å): 4.505 4.505 4.077
angles (deg): 90.00 90.00 90.00
Space group P4/mmm (No. 123)
Inequivalent atoms, fractional coordinates:
Ca (0.000, 0.000, 0.000) x1
Si (0.500, 0.500, 0.500) x1
N (0.000, 0.500, 0.000) x2
F (0.000, 0.000, 0.500) x1

Computed properties:
- VASP energy: -4.700 eV per atom
- D(E_F): 2.51 states/eV/f.u.
- Raw formation energy: 0.672 eV per atom

---

(8)
DFT (GGA-PBEsol) results for a geometry-optimized NbP4O12 structure.

a b c (Å): 12.260 8.385 10.493
angles (deg): 90.00 121.72 90.00
Space group C2/c (No. 15)
Inequivalent atoms, fractional coordinates:
Nb (0.000, 0.053, 0.250) x4
P (0.001, 0.262, 0.527) x8
P (0.201, 0.483, 0.185) x8
O (0.022, 0.228, 0.401) x8
O (0.025, 0.124, 0.903) x8
O (0.114, 0.362, 0.656) x8
O (0.117, 0.382, 0.032) x8
O (0.187, 0.041, 0.330) x8
O (0.230, 0.403, 0.322) x8

Computed properties:
- VASP energy: -7.833 eV per atom
- D(E_F): 3.12 states/eV/f.u.
- Raw formation energy: -2.128 eV per atom